! Mg3ScTl, optimized geometry, DFT GGA-PBE; values from VASP
&SYSTEM
  ibrav = 0, nat = 10, ntyp = 3
/
ATOMIC_SPECIES
Mg 24.30 Mg.upf
Sc 44.96 Sc.upf
Tl 204.38 Tl.upf
CELL_PARAMETERS angstrom
3.6215 -7.7803 0.0000
3.6215 7.7803 0.0000
-2.0912 0.0000 4.4144
ATOMIC_POSITIONS crystal
Mg 0.0000 0.5000 0.5000
Mg 0.0642 0.2138 0.0800
Mg 0.2138 0.0642 0.5800
Mg 0.5000 0.0000 0.0000
Mg 0.7862 0.9358 0.4200
Mg 0.9358 0.7862 0.9200
Sc 0.4298 0.5702 0.7500
Sc 0.5702 0.4298 0.2500
Tl 0.3165 0.6835 0.2500
Tl 0.6835 0.3165 0.7500
! N(E_F): 7.7 states/eV/cell
! Energy above the most stable polymorph in this dataset: 25.9 meV per atom
! Total DFT energy (no corrections): -2.654 eV/atom
! Space group: C2/c
! Energy relative to the elements: 0.04 eV per atom


! MgScTl2, optimized geometry, DFT GGA-PBE; values from VASP
&SYSTEM
  ibrav = 0, nat = 4, ntyp = 3
/
ATOMIC_SPECIES
Mg 24.30 Mg.upf
Sc 44.96 Sc.upf
Tl 204.38 Tl.upf
CELL_PARAMETERS angstrom
1.8621 -2.7261 0.0000
1.8621 2.7261 0.0000
0.0000 0.0000 10.2527
ATOMIC_POSITIONS crystal
Mg 0.0000 0.0000 0.0000
Sc 0.5000 0.5000 0.2387
Tl 0.0000 0.0000 0.4802
Tl 0.5000 0.5000 0.7454
! N(E_F): 3.5 states/eV/cell
! Total DFT energy (no corrections): -3.134 eV/atom
! Space group: Cmm2
! Energy relative to the elements: 0.03 eV per atom


! Mg2Sc12Tl5, optimized geometry, DFT GGA-PBE; values from VASP
&SYSTEM
  ibrav = 0, nat = 19, ntyp = 3
/
ATOMIC_SPECIES
Mg 24.30 Mg.upf
Sc 44.96 Sc.upf
Tl 204.38 Tl.upf
CELL_PARAMETERS angstrom
6.5296 -4.4430 0.0000
6.5296 4.4430 0.0000
-0.5526 0.0000 8.0109
ATOMIC_POSITIONS crystal
Mg 0.1781 0.8219 0.0000
Mg 0.8219 0.1781 0.0000
Sc 0.0727 0.0727 0.6828
Sc 0.0918 0.6863 0.6298
Sc 0.1732 0.5343 0.2196
Sc 0.3137 0.9082 0.3703
Sc 0.4146 0.4146 0.8656
Sc 0.4657 0.8268 0.7804
Sc 0.5343 0.1732 0.2196
Sc 0.5854 0.5854 0.1344
Sc 0.6863 0.0918 0.6298
Sc 0.8268 0.4657 0.7804
Sc 0.9082 0.3137 0.3703
Sc 0.9273 0.9273 0.3172
Tl 0.1904 0.1904 0.0286
Tl 0.2678 0.2678 0.5496
Tl 0.5000 0.5000 0.5000
Tl 0.7322 0.7322 0.4504
Tl 0.8096 0.8096 0.9714
! N(E_F): 25.8 states/eV/cell
! Total DFT energy (no corrections): -4.826 eV/atom
! Space group: C2/m
! Energy relative to the elements: -0.04 eV per atom


! MgScTl, optimized geometry, DFT GGA-PBE; values from VASP
&SYSTEM
  ibrav = 0, nat = 3, ntyp = 3
/
ATOMIC_SPECIES
Mg 24.30 Mg.upf
Sc 44.96 Sc.upf
Tl 204.38 Tl.upf
CELL_PARAMETERS angstrom
4.8750 0.0000 0.0000
-2.4375 4.2219 0.0000
0.0000 0.0000 3.3682
ATOMIC_POSITIONS crystal
Mg 0.0000 0.0000 0.0000
Sc 0.3333 0.6667 0.4984
Tl 0.6667 0.3333 0.9929
! N(E_F): 2.6 states/eV/cell
! Total DFT energy (no corrections): -3.585 eV/atom
! Space group: P3m1
! Energy relative to the elements: -0.15 eV per atom


! Mg3Sc2Tl2, optimized geometry, DFT GGA-PBE; values from VASP
&SYSTEM
  ibrav = 0, nat = 7, ntyp = 3
/
ATOMIC_SPECIES
Mg 24.30 Mg.upf
Sc 44.96 Sc.upf
Tl 204.38 Tl.upf
CELL_PARAMETERS angstrom
5.4038 -2.3994 0.0000
5.4038 2.3994 0.0000
-0.7411 0.0000 6.3928
ATOMIC_POSITIONS crystal
Mg 0.0000 0.0000 0.0000
Mg 0.2942 0.2942 0.1459
Mg 0.7058 0.7058 0.8541
Sc 0.4071 0.4071 0.6822
Sc 0.5929 0.5929 0.3178
Tl 0.1295 0.1295 0.6042
Tl 0.8705 0.8705 0.3958
! N(E_F): 5.0 states/eV/cell
! Total DFT energy (no corrections): -3.251 eV/atom
! Space group: C2/m
! Energy relative to the elements: -0.08 eV per atom


! Mg2Sc3Tl, optimized geometry, DFT GGA-PBE; values from VASP
&SYSTEM
  ibrav = 0, nat = 6, ntyp = 3
/
ATOMIC_SPECIES
Mg 24.30 Mg.upf
Sc 44.96 Sc.upf
Tl 204.38 Tl.upf
CELL_PARAMETERS angstrom
5.0552 0.0000 0.0000
-2.5276 4.3779 0.0000
0.0000 0.0000 6.2102
ATOMIC_POSITIONS crystal
Mg 0.3333 0.6667 0.1518
Mg 0.6667 0.3333 0.8482
Sc 0.0000 0.0000 0.0000
Sc 0.3333 0.6667 0.6674
Sc 0.6667 0.3333 0.3326
Tl 0.0000 0.0000 0.5000
! N(E_F): 6.1 states/eV/cell
! Total DFT energy (no corrections): -4.246 eV/atom
! Space group: P-3m1
! Energy relative to the elements: -0.15 eV per atom